LiFeOs2Cl | PBE | relaxed

Results
**DOS(E_F)**: 7.69 states/eV per cell
**Total magnetic moment**: 2.4 μB per cell

Cell lengths 4.4646, 4.8816, 4.4646 Å; angles 90.00, 90.00, 90.00 degrees
Last column: magnetic moment on the atom in μB.
Fractional coordinates of all 5 atoms:
Fe (0.0000, 0.0000, 0.0000)  0.00
Li (0.5000, 0.5000, 0.5000)  -0.01
Cl (0.0000, 0.5000, 0.0000)  0.11
Os (0.5000, 0.0000, 0.0000)  1.00
Os (0.0000, 0.0000, 0.5000)  1.02

---

LiFeP2Cl | PBE | relaxed

Results
**Offset from the most stable computed form**: 0.0 meV per atom
**DOS(E_F)**: 3.82 states/eV per cell
**Total magnetic moment**: 1.3 μB per cell

Cell lengths 4.1184, 4.1184, 7.1666 Å; angles 90.00, 90.00, 90.00 degrees
Last column: magnetic moment on the atom in μB.
Fractional coordinates of all 5 atoms:
Fe (0.0000, 0.0000, 0.0000)  1.08
Li (0.5000, 0.5000, 0.5000)  0.00
Cl (0.0000, 0.0000, 0.5000)  0.03
P (0.0000, 0.5000, 0.0000)  0.02
P (0.5000, 0.0000, 0.0000)  0.02

---

Li2FePCl | PBE | relaxed

Results
**DOS(E_F)**: 5.06 states/eV per cell
**Total magnetic moment**: 3.7 μB per cell

Cell lengths 4.2073, 4.7299, 4.2073 Å; angles 90.00, 90.00, 90.00 degrees
Last column: magnetic moment on the atom in μB.
Fractional coordinates of all 5 atoms:
Li (0.0000, 0.0000, 0.5000)  0.00
Li (0.5000, 0.0000, 0.0000)  0.00
Fe (0.0000, 0.5000, 0.0000)  -3.17
Cl (0.0000, 0.0000, 0.0000)  -0.05
P (0.5000, 0.5000, 0.5000)  -0.15

---

LiFeP2Cl | PBE | relaxed

Results
**Offset from the most stable computed form**: 949.9 meV per atom
**DOS(E_F)**: 5.65 states/eV per cell
**Total magnetic moment**: 3.2 μB per cell

Cell lengths 4.3474, 4.3474, 4.6423 Å; angles 90.00, 90.00, 90.00 degrees
Last column: magnetic moment on the atom in μB.
Fractional coordinates of all 5 atoms:
P (0.5000, 0.0000, 0.0000)  -0.06
P (0.0000, 0.5000, 0.0000)  -0.06
Fe (0.5000, 0.5000, 0.5000)  3.31
Cl (0.0000, 0.0000, 0.5000)  -0.01
Li (0.0000, 0.0000, 0.0000)  0.01

---

RbLiFe2Cl6 | PBE | relaxed

Results
**DOS(E_F)**: 8.22 states/eV per cell
**Total magnetic moment**: 8.0 μB per cell

Cell lengths 7.3568, 6.2524, 7.9695 Å; angles 88.28, 102.57, 121.49 degrees
Last column: magnetic moment on the atom in μB.
Fractional coordinates of all 10 atoms:
Cl (0.5274, 0.0500, 0.2204)  0.12
Cl (0.1403, 0.3740, 0.1947)  0.08
Cl (0.7127, 0.6577, 0.0630)  0.10
Cl (0.6904, 0.1477, 0.7853)  0.08
Cl (0.1852, 0.0994, 0.7938)  0.07
Cl (0.6648, 0.6540, 0.5148)  0.12
Rb (0.0689, 0.5391, 0.5634)  0.00
Li (0.9422, 0.0608, 0.9572)  0.01
Fe (0.5260, 0.2300, 0.9630)  3.39
Fe (0.5078, 0.6650, 0.2469)  3.43

---

LiFeSnCl5 | PBE | relaxed

Results
**DOS(E_F)**: 8.04 states/eV per cell
**Total magnetic moment**: 8.0 μB per cell

Cell lengths 6.8840, 6.8840, 10.3765 Å; angles 110.58, 110.58, 85.23 degrees
Last column: magnetic moment on the atom in μB.
Fractional coordinates of all 16 atoms:
Sn (0.3314, 0.6686, 0.2500)  0.03
Sn (0.6686, 0.3314, 0.7500)  0.03
Cl (0.2592, 0.3583, 0.6423)  0.06
Cl (0.9769, 0.0231, 0.2500)  0.07
Cl (0.7890, 0.3063, 0.0337)  0.04
Cl (0.3063, 0.7890, 0.5337)  0.04
Cl (0.3583, 0.2592, 0.1423)  0.06
Cl (0.0231, 0.9769, 0.7500)  0.07
Cl (0.6937, 0.2110, 0.4663)  0.04
Cl (0.2110, 0.6937, 0.9663)  0.04
Cl (0.6417, 0.7408, 0.8577)  0.06
Cl (0.7408, 0.6417, 0.3577)  0.06
Li (0.0000, 0.0000, 0.0000)  0.00
Li (0.0000, 0.0000, 0.5000)  0.00
Fe (0.2712, 0.7288, 0.7500)  3.44
Fe (0.7288, 0.2712, 0.2500)  3.44

---

LiFe2SnCl8 | PBE | relaxed

Results
**DOS(E_F)**: 7.91 states/eV per cell
**Total magnetic moment**: 1.0 μB per cell

Cell lengths 6.0857, 6.0857, 7.1895 Å; angles 89.97, 89.97, 87.13 degrees
Last column: magnetic moment on the atom in μB.
Fractional coordinates of all 12 atoms:
Cl (0.2247, 0.7753, 0.2329)  0.00
Cl (0.6698, 0.6698, 0.9998)  0.00
Cl (0.3302, 0.3302, 0.0002)  0.00
Cl (0.7753, 0.2247, 0.7671)  0.00
Cl (0.2247, 0.7753, 0.7671)  0.00
Cl (0.3329, 0.3329, 0.5002)  0.00
Cl (0.6671, 0.6671, 0.4998)  0.00
Cl (0.7753, 0.2247, 0.2329)  0.00
Sn (0.0000, 0.0000, 0.5000)  0.00
Fe (0.5000, 0.5000, 0.2427)  0.49
Fe (0.5000, 0.5000, 0.7573)  0.49
Li (0.0000, 0.0000, 0.0000)  0.00

---

LiFeSn2Cl | PBE | relaxed

Results
**DOS(E_F)**: 5.15 states/eV per cell
**Total magnetic moment**: 3.1 μB per cell

Cell lengths 5.1711, 4.2203, 5.1711 Å; angles 90.00, 90.00, 90.00 degrees
Last column: magnetic moment on the atom in μB.
Fractional coordinates of all 5 atoms:
Cl (0.0000, 0.5000, 0.0000)  -0.01
Li (0.0000, 0.0000, 0.0000)  0.02
Fe (0.5000, 0.5000, 0.5000)  3.17
Sn (0.0000, 0.0000, 0.5000)  -0.06
Sn (0.5000, 0.0000, 0.0000)  -0.06

---

LiTl3Fe2Cl9 | PBE | relaxed

Results
**DOS(E_F)**: 7.67 states/eV per cell
**Total magnetic moment**: 9.0 μB per cell

Cell lengths 7.0218, 7.0218, 8.6412 Å; angles 90.00, 90.00, 120.00 degrees
Last column: magnetic moment on the atom in μB.
Fractional coordinates of all 15 atoms:
Tl (0.3333, 0.6667, 0.6619)  0.01
Tl (0.6667, 0.3333, 0.3381)  0.01
Tl (0.0000, 0.0000, 0.0000)  0.01
Cl (0.5000, 0.5000, 0.0000)  0.11
Cl (0.3414, 0.1707, 0.6747)  0.11
Cl (0.6586, 0.8293, 0.3253)  0.11
Cl (0.1707, 0.3414, 0.3253)  0.11
Cl (0.8293, 0.6586, 0.6747)  0.11
Cl (0.0000, 0.5000, 0.0000)  0.11
Cl (0.1707, 0.8293, 0.3253)  0.11
Cl (0.5000, 0.0000, 0.0000)  0.11
Cl (0.8293, 0.1707, 0.6747)  0.11
Fe (0.6667, 0.3333, 0.8254)  3.71
Fe (0.3333, 0.6667, 0.1746)  3.71
Li (0.0000, 0.0000, 0.5000)  0.01

---

LiTlFe2Cl6 | PBE | relaxed

Results
**DOS(E_F)**: 20.00 states/eV per cell
**Total magnetic moment**: 16.0 μB per cell

Cell lengths 7.3883, 9.4369, 9.4369 Å; angles 91.26, 75.73, 75.73 degrees
Last column: magnetic moment on the atom in μB.
Fractional coordinates of all 20 atoms:
Cl (0.9572, 0.3105, 0.4038)  0.13
Cl (0.7017, 0.7852, 0.9654)  0.07
Cl (0.2017, 0.9654, 0.7852)  0.07
Cl (0.9424, 0.3834, 0.8276)  0.07
Cl (0.2983, 0.2148, 0.0346)  0.07
Cl (0.7983, 0.0346, 0.2148)  0.07
Cl (0.0576, 0.6166, 0.1724)  0.07
Cl (0.5428, 0.5962, 0.6895)  0.13
Cl (0.0428, 0.6895, 0.5962)  0.13
Cl (0.4572, 0.4038, 0.3105)  0.13
Cl (0.5576, 0.1724, 0.6166)  0.07
Cl (0.4424, 0.8276, 0.3834)  0.07
Fe (0.6864, 0.2337, 0.3882)  3.43
Fe (0.8136, 0.6118, 0.7663)  3.43
Fe (0.3136, 0.7663, 0.6118)  3.43
Fe (0.1864, 0.3882, 0.2337)  3.43
Tl (0.2500, 0.8842, 0.1158)  0.01
Tl (0.7500, 0.1158, 0.8842)  0.01
Li (0.2500, 0.2150, 0.7850)  0.01
Li (0.7500, 0.7850, 0.2150)  0.01

---

LiTlFeCl5 | PBE | relaxed

Results
**Total magnetic moment**: 10.0 μB per cell

Cell lengths 7.5687, 7.5687, 8.8560 Å; angles 102.11, 102.11, 103.94 degrees
Last column: magnetic moment on the atom in μB.
Fractional coordinates of all 16 atoms:
Fe (0.3222, 0.6778, 0.7500)  3.74
Fe (0.6778, 0.3222, 0.2500)  3.74
Li (0.0000, 0.0000, 0.5000)  0.00
Li (0.0000, 0.0000, 0.0000)  0.00
Tl (0.3119, 0.6881, 0.2500)  0.01
Tl (0.6881, 0.3119, 0.7500)  0.01
Cl (0.3317, 0.9044, 0.6245)  0.17
Cl (0.9044, 0.3317, 0.1245)  0.17
Cl (0.5922, 0.7367, 0.9316)  0.21
Cl (0.0956, 0.6683, 0.8755)  0.17
Cl (0.7367, 0.5922, 0.4316)  0.21
Cl (0.6683, 0.0956, 0.3755)  0.17
Cl (0.9364, 0.0636, 0.7500)  0.02
Cl (0.0636, 0.9364, 0.2500)  0.02
Cl (0.2633, 0.4078, 0.5684)  0.21
Cl (0.4078, 0.2633, 0.0684)  0.21

---

LiTl2FeCl6 | PBE | relaxed

Results
**DOS(E_F)**: 18.52 states/eV per cell
**Total magnetic moment**: 2.0 μB per cell

Cell lengths 6.9375, 6.9206, 9.8104 Å; angles 90.00, 90.01, 90.00 degrees
Last column: magnetic moment on the atom in μB.
Fractional coordinates of all 20 atoms:
Cl (0.9827, 0.4993, 0.2664)  0.00
Cl (0.7243, 0.2434, 0.9918)  0.00
Cl (0.5173, 0.9993, 0.2336)  0.00
Cl (0.2573, 0.2250, 0.0091)  0.00
Cl (0.2426, 0.7249, 0.4909)  0.00
Cl (0.7758, 0.7433, 0.5082)  0.00
Cl (0.4827, 0.0007, 0.7664)  0.00
Cl (0.2242, 0.2567, 0.4918)  0.00
Cl (0.0173, 0.5007, 0.7336)  0.00
Cl (0.2757, 0.7566, 0.0082)  0.00
Cl (0.7574, 0.2751, 0.5091)  0.00
Cl (0.7427, 0.7750, 0.9909)  0.00
Tl (0.4995, 0.4957, 0.2500)  0.01
Tl (0.0005, 0.9957, 0.2499)  0.01
Tl (0.9995, 0.0043, 0.7501)  0.01
Tl (0.5005, 0.5043, 0.7500)  0.01
Li (0.0000, 0.5000, 0.0000)  0.00
Li (0.5000, 0.0000, 0.5000)  0.00
Fe (0.5000, 0.0000, 0.0000)  0.93
Fe (0.0000, 0.5000, 0.5000)  0.93

---

LiFeW2Cl | PBE | relaxed

Results
**DOS(E_F)**: 4.76 states/eV per cell
**Total magnetic moment**: 3.2 μB per cell

Cell lengths 4.4680, 3.8988, 4.4680 Å; angles 90.00, 90.00, 90.00 degrees
Last column: magnetic moment on the atom in μB.
Fractional coordinates of all 5 atoms:
Cl (0.0000, 0.0000, 0.0000)  -0.02
Fe (0.5000, 0.5000, 0.5000)  2.93
Li (0.0000, 0.5000, 0.0000)  -0.01
W (0.0000, 0.0000, 0.5000)  0.17
W (0.5000, 0.0000, 0.0000)  0.07

---

Mg2FeCl | PBE | relaxed

Results
**Offset from the most stable computed form**: 53.7 meV per atom
**DOS(E_F)**: 2.07 states/eV per cell
**Total magnetic moment**: 2.6 μB per cell

Cell lengths 8.3402, 8.3402, 8.3402 Å; angles 22.08, 22.08, 22.08 degrees
Last column: magnetic moment on the atom in μB.
Fractional coordinates of all 4 atoms:
Mg (0.0006, 0.0006, 0.0006)  -0.01
Mg (0.4994, 0.4994, 0.4994)  -0.01
Cl (0.2500, 0.2500, 0.2500)  0.00
Fe (0.7500, 0.7500, 0.7500)  2.67

---

Mg2FeCl | PBE | relaxed

Results
**Offset from the most stable computed form**: 276.7 meV per atom
**DOS(E_F)**: 2.50 states/eV per cell
**Total magnetic moment**: 2.4 μB per cell

Cell lengths 5.9356, 5.9356, 5.9356 Å; angles 150.20, 131.88, 57.63 degrees
Last column: magnetic moment on the atom in μB.
Fractional coordinates of all 4 atoms:
Fe (0.2641, 0.7641, 0.5000)  2.57
Mg (0.0474, 0.0474, 0.0000)  -0.03
Mg (0.7420, 0.2420, 0.5000)  -0.03
Cl (0.4466, 0.4466, 0.0000)  0.05

---

MgFeCl | PBE | relaxed

Results
**Offset from the most stable computed form**: 0.0 meV per atom
**DOS(E_F)**: 0.79 states/eV per cell
**Total magnetic moment**: 3.0 μB per cell

Cell lengths 3.2173, 3.2173, 5.8239 Å; angles 90.00, 90.00, 120.00 degrees
Last column: magnetic moment on the atom in μB.
Fractional coordinates of all 3 atoms:
Fe (0.6667, 0.3333, 0.3216)  2.95
Mg (0.3333, 0.6667, 0.6609)  -0.02
Cl (0.0000, 0.0000, 0.0176)  0.05

---

Mg2FeCl | PBE | relaxed

Results
**Offset from the most stable computed form**: 274.0 meV per atom
**DOS(E_F)**: 3.38 states/eV per cell
**Total magnetic moment**: 2.0 μB per cell

Cell lengths 3.0233, 4.9162, 4.9162 Å; angles 90.00, 90.00, 90.00 degrees
Last column: magnetic moment on the atom in μB.
Fractional coordinates of all 4 atoms:
Mg (0.0000, 0.0000, 0.0000)  -0.05
Mg (0.0000, 0.5000, 0.5000)  -0.05
Fe (0.5000, 0.0000, 0.5000)  2.44
Cl (0.5000, 0.5000, 0.0000)  -0.02

---

Mg2FeCl | PBE | relaxed

Results
**Offset from the most stable computed form**: 79.9 meV per atom
**DOS(E_F)**: 2.25 states/eV per cell
**Total magnetic moment**: 2.1 μB per cell

Cell lengths 3.0556, 3.0556, 7.6543 Å; angles 90.00, 90.00, 93.75 degrees
Last column: magnetic moment on the atom in μB.
Fractional coordinates of all 4 atoms:
Fe (0.5000, 0.5000, 0.7500)  2.31
Cl (0.5000, 0.5000, 0.2500)  -0.01
Mg (0.0000, 0.0000, 0.9785)  -0.03
Mg (0.0000, 0.0000, 0.5215)  -0.03

---

Mg3FeCl | PBE | relaxed

Results
**Offset from the most stable computed form**: 5.3 meV per atom
**DOS(E_F)**: 13.16 states/eV per cell
**Total magnetic moment**: 0.1 μB per cell

Cell lengths 4.9829, 4.9829, 4.9829 Å; angles 90.00, 90.00, 90.00 degrees
Last column: magnetic moment on the atom in μB.
Fractional coordinates of all 5 atoms:
Fe (0.0000, 0.0000, 0.0000)  -0.13
Mg (0.0000, 0.5000, 0.0000)  0.01
Mg (0.5000, 0.0000, 0.0000)  -0.01
Mg (0.0000, 0.0000, 0.5000)  0.01
Cl (0.5000, 0.5000, 0.5000)  0.02

---

Mg2FeCl | PBE | relaxed

Results
**Offset from the most stable computed form**: 530.6 meV per atom
**DOS(E_F)**: 4.40 states/eV per cell
**Total magnetic moment**: 2.8 μB per cell

Cell lengths 5.2616, 5.2616, 5.2616 Å; angles 132.98, 132.98, 68.68 degrees
Last column: magnetic moment on the atom in μB.
Fractional coordinates of all 4 atoms:
Cl (0.2500, 0.7500, 0.5000)  0.06
Fe (0.7500, 0.2500, 0.5000)  2.82
Mg (0.5000, 0.5000, 0.0000)  -0.03
Mg (0.0000, 0.0000, 0.0000)  -0.03

---

Energy (eV/atom)
-5.496; -4.751; -4.020; -3.801; -4.249; -3.962; -3.898; -3.598; -3.816; -4.189; -3.847; -3.584; -6.379; -3.618; -3.395; -4.115; -3.397; -3.591; -2.537; -3.141
Raw formation energy (eV per atom)
1.440; -0.142; -0.111; 0.808; -1.161; -1.010; -0.763; 0.447; -0.979; -0.961; -1.100; -0.966; 1.247; -0.243; -0.020; -0.147; -0.023; -0.217; 0.482; 0.234